Here is crystalline CsGeCl2 at its relaxed geometry from the Alexandria database. Energies are from PBE.

excess energy over the best structure of this formula in the dataset	0.000	eV per atom
E	-3.106	eV per atom
formation energy without anion corrections	-814.6	meV/atom

The structure in CIF format:
```
data_CsGeCl2
_chemical_formula_sum 'Cs4 Ge4 Cl8'
_symmetry_space_group_name_H-M 'I -4 2 d'
_symmetry_Int_Tables_number 122
_symmetry_space_group_name_Hall 'I -4 2bw'
_cell_length_a 6.3800
_cell_length_b 6.3800
_cell_length_c 16.4516
_cell_angle_alpha 90.00
_cell_angle_beta 90.00
_cell_angle_gamma 90.00
loop_
_atom_site_label
_atom_site_type_symbol
_atom_site_fract_x
_atom_site_fract_y
_atom_site_fract_z
Cs1 Cs 0.0000 0.0000 0.0000
Ge1 Ge 0.0000 0.0000 0.5000
Cl1 Cl 0.1460 0.2500 0.6250
```